CoGe2Pt: relaxed, GGA-PBE.

abc: 4.3997 4.3997 4.3997
angles: 60.00 60.00 60.00
Sites, in units of the cell vectors:
Ge: 0.0000 0.0000 0.0000
Pt: 0.5000 0.5000 0.5000
Ge: 0.7500 0.7500 0.7500
Co: 0.2500 0.2500 0.2500

Energy, eV for the cell shown: -21.8
Space-group type: F-43m

Nd2Co7: relaxed, GGA-PBE.

abc: 12.4664 12.4664 12.4664
angles: 23.25 23.25 23.25
Site moments in Bohr magnetons follow the coordinates.
Sites, in units of the cell vectors:
Co: 0.7213 0.7213 0.7213  1.50
Co: 0.6064 0.1108 0.6064  1.36
Co: 0.5000 0.5000 0.5000  1.15
Co: 0.5000 0.5000 0.0000  1.45
Co: 0.0000 0.5000 0.5000  1.40
Nd: 0.8517 0.8517 0.8517  -0.25
Co: 0.8892 0.3936 0.3936  1.18
Co: 0.3936 0.3936 0.8892  1.23
Nd: 0.1483 0.1483 0.1483  -0.25
Co: 0.6064 0.6064 0.1108  1.23
Nd: 0.9485 0.9485 0.9485  -0.22
Co: 0.2787 0.2787 0.2787  1.50
Nd: 0.0515 0.0515 0.0515  -0.22
Co: 0.3877 0.3877 0.3877  1.53
Co: 0.6123 0.6123 0.6123  1.53
Co: 0.3936 0.8892 0.3936  1.36
Co: 0.5000 0.0000 0.5000  1.55
Co: 0.1108 0.6064 0.6064  1.18

Formation energy, eV/atom: -0.04
Space-group type: R-3m

Nd2NiP2Pd: relaxed, GGA-PBE.

abc: 4.1083 4.1083 8.0161
angles: 90.00 90.00 120.00
Sites, in units of the cell vectors:
Pd: 0.3333 0.6667 0.5000
Nd: 0.6667 0.3333 0.7572
P: 0.0000 0.0000 0.5000
Ni: 0.0000 0.0000 0.0000
P: 0.3333 0.6667 0.0000
Nd: 0.6667 0.3333 0.2428

Energy, eV for the cell shown: -38.2
Space-group type: P-6m2